# 1
VASP calculation (PBE) on a relaxed structure of Te2RuPbN.

Properties
energy above the most stable polymorph in this dataset = 0 meV per atom
crystal system = tetragonal

abc: 5.643 5.643 3.700
angles: 90.00 90.00 90.00
Space group P4/mmm (No. 123)
Unique sites:
Te: 0.000 0.500 0.000
Ru: 0.000 0.000 0.000
Pb: 0.500 0.500 0.500
N: 0.000 0.000 0.500

***

# 2
VASP calculation (PBE) on a relaxed structure of Th4RuPb2N2.

Properties
crystal system = monoclinic

abc: 17.464 4.074 6.900
angles: 90.00 109.85 90.00
Space group C2/m (No. 12)
Unique sites:
Th: 0.051 0.000 0.291
Th: 0.233 0.500 0.268
Ru: 0.000 0.500 0.000
Pb: 0.113 0.500 0.765
N: 0.191 0.000 0.374

***

# 3
VASP calculation (PBE) on a relaxed structure of Th3RuPbN.

Properties
crystal system = monoclinic

abc: 9.175 4.109 9.495
angles: 90.00 105.12 90.00
Space group P2_1/m (No. 11)
Unique sites:
Th: 0.053 0.250 0.346
Th: 0.329 0.250 0.969
Th: 0.367 0.750 0.648
Ru: 0.156 0.250 0.650
Pb: 0.316 0.750 0.266
N: 0.420 0.750 0.902

***

# 4
VASP calculation (PBE) on a relaxed structure of ZrRuPbN2.

Properties
crystal system = tetragonal

abc: 4.222 4.222 5.114
angles: 90.00 90.00 90.00
Space group P4/mmm (No. 123)
Unique sites:
Zr: 0.000 0.000 0.000
Ru: 0.500 0.500 0.000
Pb: 0.500 0.500 0.500
N: 0.000 0.500 0.500

***

# 5
VASP calculation (PBE) on a relaxed structure of PbSN2.

Properties
energy above the most stable polymorph in this dataset = 2104 meV per atom
crystal system = cubic

abc: 6.006 6.006 6.006
angles: 90.00 90.00 90.00
Space group Fm-3m (No. 225)
Unique sites:
Pb: 0.000 0.000 0.000
S: 0.000 0.000 0.500
N: 0.250 0.250 0.250

***

# 6
VASP calculation (PBE) on a relaxed structure of PbSN2.

Properties
energy above the most stable polymorph in this dataset = 1351 meV per atom
crystal system = tetragonal

abc: 5.342 5.342 9.046
angles: 90.00 90.00 90.00
Space group I-42d (No. 122)
Unique sites:
Pb: 0.000 0.000 0.000
S: 0.000 0.000 0.500
N: 0.128 0.250 0.625

***

# 7
VASP calculation (PBE) on a relaxed structure of Pb2SN2.

Properties
crystal system = monoclinic

abc: 5.899 5.209 10.879
angles: 90.00 93.40 90.00
Space group C2/m (No. 12)
Unique sites:
Pb: 0.070 0.000 0.366
S: 0.000 0.500 0.500
N: 0.075 0.500 0.034

***

# 8
VASP calculation (PBE) on a relaxed structure of Pb2SN2.

Properties
crystal system = tetragonal

abc: 4.966 4.966 8.020
angles: 90.00 90.00 90.00
Space group I4/mmm (No. 139)
Unique sites:
Pb: 0.000 0.500 0.250
S: 0.000 0.000 0.000
N: 0.000 0.000 0.426

***

# 9
VASP calculation (PBE) on a relaxed structure of PbSN2.

Properties
energy above the most stable polymorph in this dataset = 0 meV per atom
crystal system = triclinic

abc: 3.769 3.770 8.563
angles: 79.53 79.27 89.95
Space group P1 (No. 1)
Unique sites:
Pb: 0.000 0.000 0.000
S: 0.449 0.451 0.123
N: 0.030 0.709 0.595
N: 0.921 0.796 0.482

***

# 10
VASP calculation (PBE) on a relaxed structure of Pb3SN.

Properties
energy above the most stable polymorph in this dataset = 0 meV per atom
crystal system = cubic

abc: 5.049 5.049 5.049
angles: 90.00 90.00 90.00
Space group Pm-3m (No. 221)
Unique sites:
Pb: 0.000 0.000 0.500
S: 0.500 0.500 0.500
N: 0.000 0.000 0.000

***

# 11
VASP calculation (PBE) on a relaxed structure of PbSN2.

Properties
energy above the most stable polymorph in this dataset = 1017 meV per atom
crystal system = trigonal

abc: 3.7955 3.7955 18.3578
angles: 90.00 90.00 120.00
Space group R-3m (No. 166, hexagonal axes)
Unique sites:
Pb: 0.0000 0.0000 0.0000
S: 0.0000 0.0000 0.5000
N: 0.0000 0.0000 0.4132

***

# 12
VASP calculation (PBE) on a relaxed structure of Pb2SN2.

Properties
crystal system = tetragonal

abc: 7.009 7.009 3.602
angles: 90.00 90.00 90.00
Space group P4/mbm (No. 127)
Unique sites:
Pb: 0.162 0.338 0.000
S: 0.000 0.000 0.500
N: 0.182 0.682 0.500

***

# 13
VASP calculation (PBE) on a relaxed structure of SbPbS2N.

Properties
crystal system = tetragonal

abc: 5.358 5.358 4.369
angles: 90.00 90.00 90.00
Space group P4/mmm (No. 123)
Unique sites:
Sb: 0.000 0.000 0.000
Pb: 0.500 0.500 0.500
S: 0.000 0.500 0.500
N: 0.500 0.500 0.000

***

# 14
VASP calculation (PBE) on a relaxed structure of SbPbSN2.

Properties
energy above the most stable polymorph in this dataset = 0 meV per atom
crystal system = tetragonal

abc: 4.132 4.132 5.221
angles: 90.00 90.00 90.00
Space group P4/mmm (No. 123)
Unique sites:
Sb: 0.000 0.000 0.000
Pb: 0.500 0.500 0.500
S: 0.000 0.000 0.500
N: 0.000 0.500 0.000

***

Number 1: VASP energy -5.3589 eV per atom. Number 2: VASP energy -7.9407 eV per atom. Number 3: VASP energy -8.0006 eV per atom. Number 4: VASP energy -5.7921 eV per atom. Number 5: VASP energy -4.1261 eV per atom. Number 6: VASP energy -4.8796 eV per atom. Number 7: VASP energy -5.5816 eV per atom. Number 8: VASP energy -5.4798 eV per atom. Number 9: VASP energy -6.2305 eV per atom. Number 10: VASP energy -4.2613 eV per atom. Number 11: VASP energy -5.2135 eV per atom. Number 12: VASP energy -4.5188 eV per atom. Number 13: VASP energy -3.8112 eV per atom. Number 14: VASP energy -4.8892 eV per atom.